Record 1
Computed, not measured: NiTeMoI2 after structural relaxation at the GGA-PBE level of DFT.

Summary:
* energy relative to the lowest polymorph listed for this composition: 0.0 meV per atom
* formation energy (no corrections): 0.8949 eV per atom
* total moment: 3.857 μB per cell
* VASP energy: -0.1351 Ha/atom
* theoretical density: 6.31 g/cm³

a = 5.1979 Å, b = 5.1979 Å, c = 5.2215 Å
α = 90.00°, β = 90.00°, γ = 90.00°
With the nearest neighbours (Å) after each atom.
Positions (direct):
Ni 0.0000 0.0000 0.0000  4 I 2.60, 2 Te 2.61
Mo 0.5000 0.5000 0.5000  4 Te 3.68, 8 I 3.68
I 0.5000 0.0000 0.0000  2 Ni 2.60
I 0.0000 0.5000 0.0000  2 Ni 2.60
Te 0.0000 0.0000 0.5000  2 Ni 2.61

=====

Record 2
Computed, not measured: TiNiMoI2 after structural relaxation at the GGA-PBE level of DFT.

Summary:
* energy relative to the lowest polymorph listed for this composition: 104.2 meV per atom
* formation energy (no corrections): 1.2944 eV per atom
* total moment: 2.170 μB per cell
* VASP energy: -0.1553 Ha/atom
* theoretical density: 5.52 g/cm³

a = 5.3921 Å, b = 4.7209 Å, c = 5.3921 Å
α = 90.00°, β = 90.00°, γ = 90.00°
With the nearest neighbours (Å) after each atom.
Positions (direct):
I 0.5000 0.0000 0.0000  2 Ti 2.70
I 0.0000 0.0000 0.5000  2 Ti 2.70
Ni 0.5000 0.5000 0.5000  8 I 3.58, 4 Mo 3.81
Mo 0.0000 0.5000 0.0000  2 Ti 2.36
Ti 0.0000 0.0000 0.0000  2 Mo 2.36

=====

Record 3
Computed, not measured: TiNiMoI2 after structural relaxation at the GGA-PBE level of DFT.

Summary:
* energy relative to the lowest polymorph listed for this composition: 0.0 meV per atom
* formation energy (no corrections): 1.1902 eV per atom
* total moment: 1.390 μB per cell
* VASP energy: -0.1592 Ha/atom
* theoretical density: 6.51 g/cm³

a = 5.0328 Å, b = 4.5944 Å, c = 5.0328 Å
α = 90.00°, β = 90.00°, γ = 90.00°
With the nearest neighbours (Å) after each atom.
Positions (direct):
I 0.0000 0.0000 0.5000  2 Ni 2.52
I 0.5000 0.0000 0.0000  2 Ni 2.52
Mo 0.0000 0.5000 0.0000  2 Ni 2.30
Ni 0.0000 0.0000 0.0000  2 Mo 2.30, 4 I 2.52
Ti 0.5000 0.5000 0.5000  8 I 3.41, 4 Mo 3.56

=====

Record 4
Computed, not measured: YNiMo2I after structural relaxation at the GGA-PBE level of DFT.

Summary:
* formation energy (no corrections): 2.1335 eV per atom
* total moment: 6.492 μB per cell
* VASP energy: -0.1822 Ha/atom
* theoretical density: 5.75 g/cm³

a = 5.3535 Å, b = 4.7009 Å, c = 5.3535 Å
α = 90.00°, β = 90.00°, γ = 90.00°
With the nearest neighbours (Å) after each atom.
Positions (direct):
Ni 0.0000 0.5000 0.0000  2 Y 2.35
I 0.5000 0.5000 0.5000  8 Mo 3.56, 4 Ni 3.79
Mo 0.0000 0.0000 0.5000  2 Y 2.68
Mo 0.5000 0.0000 0.0000  2 Y 2.68
Y 0.0000 0.0000 0.0000  2 Ni 2.35

=====

Record 5
Computed, not measured: YNiMoI2 after structural relaxation at the GGA-PBE level of DFT.

Summary:
* formation energy (no corrections): 0.6011 eV per atom
* total moment: 1.095 μB per cell
* VASP energy: -0.1703 Ha/atom
* theoretical density: 6.70 g/cm³

a = 5.1445 Å, b = 4.6557 Å, c = 5.1445 Å
α = 90.00°, β = 90.00°, γ = 90.00°
With the nearest neighbours (Å) after each atom.
Positions (direct):
Mo 0.0000 0.5000 0.0000  2 Ni 2.33
Ni 0.0000 0.0000 0.0000  2 Mo 2.33, 4 I 2.57
Y 0.5000 0.5000 0.5000  8 I 3.47, 4 Mo 3.64
I 0.0000 0.0000 0.5000  2 Ni 2.57
I 0.5000 0.0000 0.0000  2 Ni 2.57